DFT (PBE-GGA) results for a relaxed structure of MnV2Br6.

Lattice parameters (Å, degrees): 9.2065 9.2065 6.6544 110.97 110.97 77.12
Last column: nearest neighbours and their distance in Å.
Fractional positions:
1 Mn 0.0972 0.9028 0.7500  6 Br 2.63-2.83
2 Mn 0.9028 0.0972 0.2500  6 Br 2.63-2.83
3 V 0.1771 0.3409 0.4959  6 Br 2.53-2.82
4 V 0.3409 0.1771 0.9959  6 Br 2.53-2.82
5 V 0.6591 0.8229 0.0041  6 Br 2.53-2.82
6 V 0.8229 0.6591 0.5041  6 Br 2.53-2.82
7 Br 0.0467 0.2057 0.7031  2 Mn 2.72-2.83, 2 V 2.73-2.82
8 Br 0.1128 0.6206 0.7726  1 Mn 2.63, 2 V 2.66
9 Br 0.2057 0.0467 0.2031  2 Mn 2.72-2.83, 2 V 2.73-2.82
10 Br 0.2909 0.4393 0.2802  2 V 2.53-2.54
11 Br 0.3794 0.8872 0.7274  1 Mn 2.63, 2 V 2.66
12 Br 0.4393 0.2909 0.7802  2 V 2.53-2.54
13 Br 0.5607 0.7091 0.2198  2 V 2.53-2.54
14 Br 0.6206 0.1128 0.2726  1 Mn 2.63, 2 V 2.66
15 Br 0.7091 0.5607 0.7198  2 V 2.53-2.54
16 Br 0.7943 0.9533 0.7969  2 Mn 2.72-2.83, 2 V 2.73-2.82
17 Br 0.8872 0.3794 0.2274  1 Mn 2.63, 2 V 2.66
18 Br 0.9533 0.7943 0.2969  2 Mn 2.72-2.83, 2 V 2.73-2.82

Uncorrected formation energy   -0.688 eV per atom
Excess energy over the best structure of this formula in the dataset   110 meV per atom
Uncorrected energy   -4.85 eV/atom
Total moment   21.384 μB/cell